Entry from Alexandria via LeMat-Bulk: a relaxed Ho5GeTe2 crystal (PBE).

Cell lengths 5.9117, 12.2240, 13.5920 Å; angles 90.00, 90.00, 90.00 degrees
Closest atoms and distances in Å follow each position.
Space group Cmcm (No. 63)
One atom of each set of equivalent atoms:
Ho1 0.0000 0.0540 0.1222 x8  1 Ge 2.79, 2 Te 3.00-3.09
Ho2 0.0000 0.3273 0.7500 x4  2 Ge 3.04, 2 Te 3.06
Ho3 0.0000 0.3841 0.0941 x8  1 Ge 2.82, 2 Te 3.12
Ge1 0.0000 0.2322 0.2500 x4  6 Ho 2.79-3.04
Te1 0.0000 0.1896 0.5620 x8  6 Ho 3.00-3.19

Results
**Formation energy from raw total energies**: -0.651 eV per atom
**Crystal system**: orthorhombic
**Final energy**: -156.0 eV/cell